Computed, not measured: Li3TlPt after structural relaxation at the PBE level of DFT.

Values from the calculation:
ΔE to the lowest computed polymorph: 186.0 meV/atom
Final energy: -3.011 eV per atom
E_form: -0.18 eV/atom
Symmetry: I-4m2 (119)

Cell lengths 5.143, 5.143, 9.239 Å; angles 106.16, 106.16, 90.00 degrees
Atoms (fractional coordinates):
Li: 0.127 0.874 0.749
Li: 0.713 0.713 0.426
Tl: 0.561 0.061 0.122
Li: 0.126 0.873 0.251
Li: 0.622 0.874 0.749
Tl: 0.939 0.439 0.878
Pt: 0.000 0.000 0.000
Pt: 0.250 0.750 0.500
Li: 0.287 0.287 0.574
Li: 0.126 0.378 0.251

---

Computed, not measured: LiTmTlPt after structural relaxation at the PBE level of DFT.

Values from the calculation:
Final energy: -4.330 eV per atom
E_form: -0.63 eV/atom
Symmetry: F-43m (216)

Cell lengths 4.793, 4.793, 4.793 Å; angles 60.00, 60.00, 60.00 degrees
Atoms (fractional coordinates):
Tl: 0.500 0.500 0.500
Tm: 0.000 0.000 0.000
Pt: 0.750 0.750 0.750
Li: 0.250 0.250 0.250

---

Computed, not measured: LiYTlPt after structural relaxation at the PBE level of DFT.

Values from the calculation:
Final energy: -4.821 eV per atom
E_form: -0.63 eV/atom
Symmetry: F-43m (216)

Cell lengths 4.837, 4.837, 4.837 Å; angles 60.00, 60.00, 60.00 degrees
Atoms (fractional coordinates):
Tl: 0.500 0.500 0.500
Li: 0.250 0.250 0.250
Y: 0.000 0.000 0.000
Pt: 0.750 0.750 0.750

---

Computed, not measured: LiTl2ZnPt after structural relaxation at the PBE level of DFT.

Values from the calculation:
ΔE to the lowest computed polymorph: 0.0 meV/atom
Final energy: -2.494 eV per atom
E_form: 0.30 eV/atom
Symmetry: P4/mmm (123)

Cell lengths 5.100, 4.442, 5.100 Å; angles 90.00, 90.00, 90.00 degrees
Atoms (fractional coordinates):
Li: 0.000 0.000 0.000
Tl: 0.500 0.000 0.000
Tl: 0.000 0.000 0.500
Zn: 0.500 0.500 0.500
Pt: 0.000 0.500 0.000

---

Computed, not measured: LiTl2ZnPt after structural relaxation at the PBE level of DFT.

Values from the calculation:
ΔE to the lowest computed polymorph: 182.1 meV/atom
Final energy: -2.311 eV per atom
E_form: 0.48 eV/atom
Symmetry: P4/mmm (123)

Cell lengths 5.123, 4.592, 5.123 Å; angles 90.00, 90.00, 90.00 degrees
Atoms (fractional coordinates):
Pt: 0.500 0.500 0.500
Tl: 0.000 0.000 0.500
Tl: 0.500 0.000 0.000
Zn: 0.000 0.000 0.000
Li: 0.000 0.500 0.000

---

Computed, not measured: Li2TmPt3 after structural relaxation at the PBE level of DFT.

Values from the calculation:
ΔE to the lowest computed polymorph: 0.0 meV/atom
Final energy: -5.240 eV per atom
E_form: -0.84 eV/atom
Symmetry: Cmmm (65)

Cell lengths 4.258, 6.739, 6.914 Å; angles 90.00, 90.00, 71.58 degrees
Atoms (fractional coordinates):
Li: 0.000 0.000 0.500
Pt: 0.500 0.000 0.719
Li: 0.000 0.000 0.000
Tm: 0.654 0.692 0.000
Li: 0.330 0.340 0.500
Pt: 0.835 0.330 0.271
Tm: 0.346 0.308 0.000
Pt: 0.835 0.330 0.729
Pt: 0.500 0.000 0.281
Li: 0.670 0.660 0.500
Pt: 0.165 0.670 0.729
Pt: 0.165 0.670 0.271

---

Computed, not measured: LiTmPt after structural relaxation at the PBE level of DFT.

Values from the calculation:
ΔE to the lowest computed polymorph: 95.2 meV/atom
Final energy: -4.905 eV per atom
E_form: -0.76 eV/atom
Symmetry: P-6m2 (187)

Cell lengths 3.584, 4.275, 4.275 Å; angles 120.00, 90.00, 90.00 degrees
Atoms (fractional coordinates):
Tm: 0.667 0.667 0.333
Pt: 0.167 0.333 0.667
Li: 0.166 0.000 0.000

---

Computed, not measured: Li2Tm2Pt3 after structural relaxation at the PBE level of DFT.

Values from the calculation:
Final energy: -5.332 eV per atom
E_form: -0.92 eV/atom
Symmetry: C2/m (12)

Cell lengths 4.755, 4.761, 7.515 Å; angles 90.06, 108.58, 119.96 degrees
Atoms (fractional coordinates):
Tm: 0.223 0.611 0.836
Tm: 0.777 0.389 0.164
Li: 0.264 0.132 0.395
Pt: 0.000 0.000 0.000
Pt: 0.506 0.253 0.762
Li: 0.736 0.868 0.605
Pt: 0.494 0.747 0.238